[1]
This record from the Open Quantum Materials Database describes CdSnHgSe4 after structural relaxation. The functional is PBE.

Cell lengths 7.2799, 7.2799, 7.2799 Å; angles 132.10, 132.10, 70.08 degrees
Element x y z (fractional)
1 Cd 0.5000 0.5000 0.0000
2 Hg 0.7500 0.2500 0.5000
3 Se 0.9243 0.4064 0.0620
4 Se 0.1376 0.0757 0.4821
5 Se 0.5936 0.6555 0.5179
6 Se 0.3445 0.8624 0.9380
7 Sn 0.0000 0.0000 0.0000


[2]
This record from the Open Quantum Materials Database describes HfAlNi after structural relaxation. The functional is PBE.

Cell lengths 6.6560, 6.6560, 3.6476 Å; angles 90.00, 90.00, 120.00 degrees
Element x y z (fractional)
1 Al 0.2466 0.0000 0.0000
2 Al 0.0000 0.2466 0.0000
3 Al 0.7534 0.7534 0.0000
4 Hf 0.5858 0.0000 0.5000
5 Hf 0.4142 0.4142 0.5000
6 Hf 0.0000 0.5858 0.5000
7 Ni 0.6667 0.3333 0.0000
8 Ni 0.3333 0.6667 0.0000
9 Ni 0.0000 0.0000 0.5000


[3]
This record from the Open Quantum Materials Database describes NaThNi after structural relaxation. The functional is PBE.

Cell lengths 4.7133, 4.7133, 4.7133 Å; angles 60.00, 60.00, 60.00 degrees
Element x y z (fractional)
1 Na 0.2500 0.2500 0.2500
2 Ni 0.0000 0.0000 0.0000
3 Th 0.7500 0.7500 0.7500

Output
* ΔE to the lowest computed polymorph: 0.0000 eV/atom


[4]
This record from the Open Quantum Materials Database describes SmErZn2Pb2 after structural relaxation. The functional is PBE.

Cell lengths 4.5989, 4.5989, 16.1467 Å; angles 90.00, 90.00, 120.00 degrees
Element x y z (fractional)
1 Er 0.0000 0.0000 0.2500
2 Er 0.0000 0.0000 0.7500
3 Pb 0.3333 0.6667 0.1130
4 Pb 0.3333 0.6667 0.3870
5 Pb 0.6667 0.3333 0.6130
6 Pb 0.6667 0.3333 0.8870
7 Sm 0.0000 0.0000 0.0000
8 Sm 0.0000 0.0000 0.5000
9 Zn 0.6667 0.3333 0.1665
10 Zn 0.6667 0.3333 0.3335
11 Zn 0.3333 0.6667 0.6665
12 Zn 0.3333 0.6667 0.8335

Output
* ΔE to the lowest computed polymorph: 0.0000 eV/atom


The calculation returns the following energy values, one per record and in order: -0.1147, -0.2597, -0.1647, -0.1331 hartree per atom.